DFT (GGA-PBE) results for RbThCu2Cl8 after structural relaxation.

Lattice parameters (Å, degrees): 7.625 7.950 8.780 70.34 67.51 55.99
Fractional positions:
Rb  0.000  0.000  0.500
Th  0.000  0.000  0.000
Cu  0.535  0.540  0.645
Cu  0.465  0.460  0.355
Cl  0.139  0.675  0.250
Cl  0.859  0.826  0.905
Cl  0.612  0.178  0.233
Cl  0.861  0.325  0.750
Cl  0.141  0.174  0.095
Cl  0.388  0.822  0.767
Cl  0.551  0.682  0.368
Cl  0.449  0.318  0.632

Values from the calculation:
- magnetic moment (μB/cell) = 1.1
- formation energy (no corrections) (meV per atom) = -1420

DFT (GGA-PBE) results for MgCd2Pd5Au after structural relaxation.

Lattice parameters (Å, degrees): 6.744 6.744 8.804 112.52 112.52 90.00
Fractional positions:
Mg  0.250  0.250  0.500
Mg  0.750  0.750  0.500
Cd  0.135  0.365  0.000
Cd  0.635  0.135  0.000
Cd  0.365  0.865  0.000
Cd  0.865  0.635  0.000
Pd  0.921  0.421  0.306
Pd  0.615  0.115  0.694
Pd  0.079  0.579  0.694
Pd  0.115  0.079  0.694
Pd  0.579  0.615  0.694
Pd  0.885  0.921  0.306
Pd  0.421  0.385  0.306
Pd  0.385  0.885  0.306
Pd  0.500  0.500  0.000
Pd  0.000  0.000  0.000
Au  0.250  0.750  0.500
Au  0.750  0.250  0.500

Values from the calculation:
- formation enthalpy at 0 K (eV/atom) = -0.07
- magnetic moment (μB/cell) = 0.0

DFT (GGA-PBE) results for Pt2PbCl after structural relaxation.

Lattice parameters (Å, degrees): 6.601 6.601 6.601 36.70 36.70 36.70
Fractional positions:
Cl  0.481  0.481  0.481
Pb  0.272  0.272  0.272
Pt  0.012  0.012  0.012
Pt  0.735  0.735  0.735

Values from the calculation:
- distance to the lowest polymorph of the same formula (meV per atom) = 93
- magnetic moment (μB/cell) = 0.0
- formation energy (no corrections) (meV per atom) = 5

DFT (GGA-PBE) results for NbIrRuPt after structural relaxation.

Lattice parameters (Å, degrees): 3.866 3.936 4.004 90.00 90.00 90.00
Fractional positions:
Nb  0.500  0.500  0.000
Ir  0.000  0.500  0.500
Ru  0.000  0.000  0.000
Pt  0.500  0.000  0.500

Values from the calculation:
- formation enthalpy at 0 K (eV/atom) = -0.52
- magnetic moment (μB/cell) = 0.0